1.
Na3HfTc | PBE | relaxed

Geometry as CIF:
```
data_Na3HfTc
_cell_length_a 5.182
_cell_length_b 5.182
_cell_length_c 5.182
_cell_angle_alpha 90.00
_cell_angle_beta 90.00
_cell_angle_gamma 90.00
_space_group_name_H-M_alt 'P m -3 m'
_space_group_IT_number 221
_space_group_name_Hall '-P 4 2 3'
loop_
_atom_site_label
_atom_site_type_symbol
_atom_site_fract_x
_atom_site_fract_y
_atom_site_fract_z
Na1 Na 0.000 0.000 0.500
Hf1 Hf 0.500 0.500 0.500
Tc1 Tc 0.000 0.000 0.000
```

Properties
V in Å³/atom: 27.83
Total magnetization in μB per formula unit: 0.0
ΔH_f (0 K) in meV per atom: 1963
Energy above the most stable polymorph in this dataset in meV per atom: 0.0

2.
Ac14PmY | PBE | relaxed

Geometry as CIF:
```
data_Ac14PmY
_cell_length_a 7.890
_cell_length_b 7.890
_cell_length_c 11.222
_cell_angle_alpha 90.00
_cell_angle_beta 90.00
_cell_angle_gamma 90.00
_space_group_name_H-M_alt 'P 4/m m m'
_space_group_IT_number 123
_space_group_name_Hall '-P 4 2'
loop_
_atom_site_label
_atom_site_type_symbol
_atom_site_fract_x
_atom_site_fract_y
_atom_site_fract_z
Ac1 Ac 0.000 0.000 0.000
Ac2 Ac 0.000 0.500 0.000
Ac3 Ac 0.000 0.500 0.500
Ac4 Ac 0.250 0.250 0.256
Ac5 Ac 0.500 0.500 0.000
Pm1 Pm 0.000 0.000 0.500
Y1 Y 0.500 0.500 0.500
```

Properties
V in Å³/atom: 43.66
Total magnetization in μB per formula unit: 0.0
ΔH_f (0 K) in meV per atom: 25

3.
RbH2I | PBE | relaxed

Geometry as CIF:
```
data_RbH2I
_cell_length_a 5.060
_cell_length_b 5.281
_cell_length_c 9.206
_cell_angle_alpha 90.00
_cell_angle_beta 90.22
_cell_angle_gamma 90.00
_space_group_name_H-M_alt 'P 1 21/m 1'
_space_group_IT_number 11
loop_
_space_group_symop_operation_xyz
'x,y,z'
'-x,-y,-z'
'-x,y+1/2,-z'
'x,-y+1/2,z'
loop_
_atom_site_label
_atom_site_type_symbol
_atom_site_fract_x
_atom_site_fract_y
_atom_site_fract_z
Rb1 Rb 0.248 0.250 0.300
H1 H 0.247 0.679 0.964
I1 I 0.252 0.250 0.699
```

Properties
V in Å³/atom: 30.75
Total magnetization in μB per formula unit: 0.0
Energy above the most stable polymorph in this dataset in meV per atom: 0.0

4.
Sr2NpBeO5 | PBE | relaxed

Geometry as CIF:
```
data_Sr2NpBeO5
_cell_length_a 3.443
_cell_length_b 13.933
_cell_length_c 10.942
_cell_angle_alpha 90.00
_cell_angle_beta 90.00
_cell_angle_gamma 90.00
_space_group_name_H-M_alt 'C m c 21'
_space_group_IT_number 36
loop_
_space_group_symop_operation_xyz
'x,y,z'
'-x,-y,z+1/2'
'-x,y,z'
'x,-y,z+1/2'
'x+1/2,y+1/2,z'
'-x+1/2,-y+1/2,z+1/2'
'-x+1/2,y+1/2,z'
'x+1/2,-y+1/2,z+1/2'
loop_
_atom_site_label
_atom_site_type_symbol
_atom_site_fract_x
_atom_site_fract_y
_atom_site_fract_z
Sr1 Sr 0.000 0.098 0.000
Sr2 Sr 0.000 0.126 0.672
Np1 Np 0.000 0.189 0.366
Be1 Be 0.000 0.445 0.736
O1 O 0.000 0.034 0.317
O2 O 0.000 0.296 0.000
O3 O 0.000 0.327 0.730
O4 O 0.000 0.340 0.343
O5 O 0.000 0.500 0.114
```

Properties
V in Å³/atom: 14.58
Total magnetization in μB per formula unit: 3.0
ΔE_f (raw) in meV/atom: -2763

5.
SmSc5Tl6 | PBE | relaxed

Geometry as CIF:
```
data_SmSc5Tl6
_cell_length_a 8.932
_cell_length_b 15.495
_cell_length_c 5.161
_cell_angle_alpha 90.00
_cell_angle_beta 125.20
_cell_angle_gamma 90.00
_space_group_name_H-M_alt 'C 1 2/m 1'
_space_group_IT_number 12
loop_
_space_group_symop_operation_xyz
'x,y,z'
'-x,-y,-z'
'-x,y,-z'
'x,-y,z'
'x+1/2,y+1/2,z'
'-x+1/2,-y+1/2,-z'
'-x+1/2,y+1/2,-z'
'x+1/2,-y+1/2,z'
loop_
_atom_site_label
_atom_site_type_symbol
_atom_site_fract_x
_atom_site_fract_y
_atom_site_fract_z
Sm1 Sm 0.000 0.000 0.000
Sc1 Sc 0.000 0.163 0.500
Sc2 Sc 0.000 0.332 0.000
Sc3 Sc 0.000 0.500 0.500
Tl1 Tl 0.235 0.500 0.235
Tl2 Tl 0.243 0.329 0.743
```

Properties
V in Å³/atom: 24.32
Total magnetization in μB per formula unit: 0.0
ΔH_f (0 K) in meV per atom: -267

6.
BaCu2Au | PBE | relaxed

Geometry as CIF:
```
data_BaCu2Au
_cell_length_a 7.105
_cell_length_b 7.105
_cell_length_c 7.105
_cell_angle_alpha 90.00
_cell_angle_beta 90.00
_cell_angle_gamma 90.00
_space_group_name_H-M_alt 'F m -3 m'
_space_group_IT_number 225
_space_group_name_Hall '-F 4 2 3'
loop_
_atom_site_label
_atom_site_type_symbol
_atom_site_fract_x
_atom_site_fract_y
_atom_site_fract_z
Ba1 Ba 0.000 0.000 0.000
Cu1 Cu 0.250 0.250 0.250
Au1 Au 0.000 0.000 0.500
```

Properties
V in Å³/atom: 22.42
Total magnetization in μB per formula unit: 0.0
ΔH_f (0 K) in meV per atom: 112
Energy above the most stable polymorph in this dataset in meV per atom: 362.3